The following is a DFT calculation (PBE-GGA) of a relaxed ZnTcGePd2 crystal.

Cell: 4.633 4.633 4.518 Å, 90.00 90.00 90.00°
Space group P4/mmm (No. 123)
Inequivalent atoms, fractional coordinates:
1 Zn 0.000 0.000 0.000 x1
2 Tc 0.500 0.500 0.500 x1
3 Ge 0.000 0.000 0.500 x1
4 Pd 0.000 0.500 0.000 x2

## Properties
ΔH_f (0 K) (eV/atom): 0.938
Energy (eV/atom): -4.39
Density of states at the Fermi level (states/eV per atom): 0.5722